First-principles (PBE) data for crystalline Ac2Pr5In4 at its relaxed geometry, as listed in Alexandria via LeMat-Bulk.

a = 3.6685 Å, b = 10.1200 Å, c = 10.9120 Å
α = 63.53°, β = 90.00°, γ = 90.00°
Closest atoms and distances in Å follow each position.
Atoms (fractional coordinates):
In 0.5000 0.7700 0.9978  6 Pr 3.28-3.46, 2 In 3.67
In 0.5000 0.7542 0.4506  6 Pr 3.31-3.64, 2 Ac 3.50, 2 In 3.67
In 0.5000 0.2300 0.0022  6 Pr 3.28-3.46, 2 In 3.67
In 0.5000 0.2458 0.5494  6 Pr 3.31-3.64, 2 Ac 3.50, 2 In 3.67
Pr 0.0000 0.5312 0.3220  6 In 3.39-3.75, 5 Pr 3.42-3.67, 1 Ac 3.78
Pr 0.0000 0.9085 0.1692  6 In 3.31-3.46, 4 Pr 3.31-3.67, 1 Ac 3.59
Pr 0.0000 0.5000 0.0000  4 In 3.28, 4 Pr 3.67, 2 Ac 3.68
Pr 0.0000 0.4688 0.6780  6 In 3.39-3.75, 5 Pr 3.42-3.67, 1 Ac 3.78
Pr 0.0000 0.0915 0.8308  6 In 3.31-3.46, 4 Pr 3.31-3.67, 1 Ac 3.59
Ac 0.0000 0.1576 0.3222  4 In 3.50-3.72, 3 Pr 3.59-3.78, 3 Ac 3.67-3.77
Ac 0.0000 0.8424 0.6778  4 In 3.50-3.72, 3 Pr 3.59-3.78, 3 Ac 3.67-3.77

Results
The formation energy comes out at -26.1 kJ/mol of atoms. Its calculated volume is 33.0 Å³ per atom. For the total energy, the calculation gives -4.1858 eV per atom. The value obtained for the density is 7.4 g cm⁻³. The size of the total moment is 0.00 μB/f.u. For the density of states at the Fermi level, the calculation gives 11.49 states/eV per cell. Its excess energy over the best structure of this formula in the dataset is 0.000 eV per formula unit.